Record 1
Entry from Alexandria via LeMat-Bulk: MnAl2Pb at its PBEsol-relaxed geometry (meta-GGA SCAN).

ΔH_f (0 K) = 0.152 eV per atom

a = 3.1224 Å, b = 3.1224 Å, c = 9.0160 Å
α = 80.03°, β = 80.03°, γ = 60.00°
Each line ends with the local moment (μB).
Sites, in units of the cell vectors:
Pb 0.2448 0.2448 0.2657  -0.02
Mn 0.4922 0.4922 0.5235  3.68
Al 0.0079 0.0079 0.9763  0.02
Al 0.7552 0.7552 0.7345  -0.04

---

Record 2
Entry from Alexandria via LeMat-Bulk: LaH3Pt at its PBEsol-relaxed geometry (meta-GGA SCAN).

a = 4.2211 Å, b = 4.5007 Å, c = 6.5220 Å
α = 91.13°, β = 90.00°, γ = 90.00°
Sites, in units of the cell vectors:
H 0.0000 0.2870 0.3426
H 0.5000 0.2250 0.1706
H 0.0000 0.7130 0.6574
H 0.5000 0.7790 0.1766
H 0.5000 0.7750 0.8294
H 0.5000 0.2210 0.8234
Pt 0.5000 0.5000 0.0000
Pt 0.0000 0.0000 0.5000
La 0.0000 0.0000 0.0000
La 0.5000 0.5000 0.5000

---

Record 3
Entry from Alexandria via LeMat-Bulk: Li2Sc2P at its PBEsol-relaxed geometry (meta-GGA SCAN).

ΔH_f (0 K) = -0.312 eV per atom

a = 3.3449 Å, b = 3.3449 Å, c = 8.7287 Å
α = 101.05°, β = 101.05°, γ = 90.00°
Each line ends with the local moment (μB).
Sites, in units of the cell vectors:
Sc 0.4157 0.4157 0.8313  -0.30
Sc 0.5843 0.5843 0.1687  -0.30
P 0.0000 0.0000 0.0000  0.03
Li 0.2500 0.7500 0.5000  -0.02
Li 0.7500 0.2500 0.5000  -0.02

---

Record 4
Entry from Alexandria via LeMat-Bulk: Na2CuH4S2O10 at its PBEsol-relaxed geometry (meta-GGA SCAN).

a = 5.5851 Å, b = 5.7940 Å, c = 12.5481 Å
α = 90.00°, β = 90.00°, γ = 109.71°
Each line ends with the local moment (μB).
Sites, in units of the cell vectors:
Na 0.2940 0.4225 0.3761  0.00
Na 0.2060 0.5775 0.8761  0.00
Na 0.7060 0.5775 0.6239  0.00
Na 0.7940 0.4225 0.1239  0.00
Cu 0.5000 0.0000 0.5000  0.77
Cu 0.0000 0.0000 0.0000  0.77
H 0.5207 0.0618 0.2983  0.00
H 0.9793 0.9382 0.7983  0.00
H 0.4793 0.9382 0.7017  0.00
H 0.0207 0.0618 0.2017  0.00
H 0.7209 0.2986 0.3542  0.00
H 0.7791 0.7014 0.8542  0.00
H 0.2791 0.7014 0.6458  0.00
H 0.2209 0.2986 0.1458  0.00
S 0.9596 0.7531 0.3811  0.00
S 0.5404 0.2469 0.8811  0.00
S 0.0404 0.2469 0.6189  0.00
S 0.4596 0.7531 0.1189  0.00
O 0.0218 0.9867 0.3231  0.00
O 0.4782 0.0133 0.8231  0.00
O 0.9782 0.0133 0.6769  0.00
O 0.5218 0.9867 0.1769  0.00
O 0.7214 0.7010 0.4423  0.01
O 0.7786 0.2990 0.9423  0.01
O 0.2786 0.2990 0.5577  0.01
O 0.2214 0.7010 0.0577  0.01
O 0.1725 0.7611 0.4572  0.05
O 0.3275 0.2389 0.9572  0.05
O 0.8275 0.2389 0.5428  0.05
O 0.6725 0.7611 0.0428  0.05
O 0.9388 0.5449 0.3072  0.01
O 0.5612 0.4551 0.8072  0.01
O 0.0612 0.4551 0.6928  0.01
O 0.4388 0.5449 0.1928  0.01
O 0.5502 0.1662 0.3650  0.06
O 0.9498 0.8338 0.8650  0.06
O 0.4498 0.8338 0.6350  0.06
O 0.0502 0.1662 0.1350  0.06

---

Record 5
Entry from Alexandria via LeMat-Bulk: KYP2Se6 at its PBEsol-relaxed geometry (meta-GGA SCAN).

Energy relative to the elements, uncorrected = -932.9 meV per atom

a = 6.7066 Å, b = 7.3430 Å, c = 21.4166 Å
α = 90.00°, β = 90.00°, γ = 90.00°
Sites, in units of the cell vectors:
K 0.1225 0.5203 0.4973
K 0.3775 0.4797 0.9973
K 0.6225 0.9797 0.5027
K 0.8775 0.0203 0.0027
Y 0.7162 0.8172 0.7487
Y 0.2162 0.6828 0.2513
Y 0.7838 0.1828 0.2487
Y 0.2838 0.3172 0.7513
P 0.8257 0.4511 0.1093
P 0.3060 0.1790 0.3352
P 0.8060 0.3210 0.6648
P 0.1743 0.9511 0.3907
P 0.1940 0.8210 0.8352
P 0.6940 0.6790 0.1648
P 0.6743 0.5489 0.6093
P 0.3257 0.0489 0.8907
Se 0.6312 0.5539 0.2580
Se 0.8830 0.5441 0.0153
Se 0.9088 0.7267 0.8721
Se 0.1312 0.9461 0.7420
Se 0.1170 0.0441 0.4847
Se 0.0912 0.2267 0.6279
Se 0.5599 0.1185 0.6675
Se 0.8910 0.7667 0.6195
Se 0.0812 0.3686 0.1703
Se 0.5812 0.1314 0.8297
Se 0.6170 0.4559 0.5153
Se 0.3910 0.7333 0.3805
Se 0.4188 0.6314 0.6703
Se 0.4401 0.6185 0.8325
Se 0.3688 0.0539 0.2420
Se 0.8688 0.4461 0.7580
Se 0.1090 0.2667 0.8805
Se 0.9188 0.8686 0.3297
Se 0.9401 0.8815 0.1675
Se 0.6090 0.2333 0.1195
Se 0.5912 0.2733 0.3721
Se 0.4088 0.7733 0.1279
Se 0.3830 0.9559 0.9847
Se 0.0599 0.3815 0.3325

---

Record 6
Entry from Alexandria via LeMat-Bulk: ZnCr5 at its PBEsol-relaxed geometry (meta-GGA SCAN).

ΔH_f (0 K) = 0.536 eV per atom
Relative energy among the computed polymorphs = 117 kJ/mol of formula units

a = 3.9018 Å, b = 4.7337 Å, c = 4.7337 Å
α = 120.00°, β = 90.00°, γ = 90.00°
Sites, in units of the cell vectors:
Cr 0.5000 0.0000 0.5000
Cr 0.0000 0.6667 0.3333
Cr 0.5000 0.5000 0.5000
Cr 0.5000 0.5000 0.0000
Cr 0.0000 0.3333 0.6667
Zn 0.0000 0.0000 0.0000

---

Here are the calculated calculated volume numbers, same order: 75, 124, 94, 382, 1055, 76 (Å³/cell).
Here are the calculated electronic total energy numbers, same order: -27.233, -25.459, -9.042, -7.796, -18.677, -17.037 (eV/atom).